# Mg2Tl4Pb3 PBE-GGA relaxed
# Space group: C2/m
# Size of the total moment in Bohr magnetons per cell: 0.00
# DFT total energy in eV per atom: -2.575
# Formation energy from the elements in eV/atom: 0.067
data_Mg2Tl4Pb3
_symmetry_space_group_name_H-M 'P 1'
_symmetry_Int_Tables_number 1
_symmetry_space_group_name_Hall 'P 1'
_cell_length_a 5.029
_cell_length_b 5.029
_cell_length_c 12.380
_cell_angle_alpha 105.73
_cell_angle_beta 105.73
_cell_angle_gamma 67.20
loop_
_atom_site_label
_atom_site_type_symbol
_atom_site_fract_x
_atom_site_fract_y
_atom_site_fract_z
Mg1 Mg 0.121 0.121 0.424
Mg2 Mg 0.879 0.879 0.576
Tl1 Tl 0.042 0.042 0.161
Tl2 Tl 0.277 0.277 0.706
Tl3 Tl 0.723 0.723 0.294
Tl4 Tl 0.958 0.958 0.839
Pb1 Pb 0.349 0.349 0.055
Pb2 Pb 0.500 0.500 0.500
Pb3 Pb 0.651 0.651 0.945